A relaxed AcHg2Se crystal, computed with PBE-GGA.

Cell lengths 4.4388, 4.4600, 11.8491 Å; angles 100.74, 90.00, 90.00 degrees
Closest atoms and distances in Å follow each position.
Fractional positions:
Se (0.2500, 0.3058, 0.6129)  5 Ac 3.15-3.19
Se (0.7500, 0.6942, 0.3871)  5 Ac 3.15-3.19
Hg (0.7500, 0.0548, 0.1084)  8 Hg 3.15-3.39, 2 Ac 3.51
Hg (0.7500, 0.4443, 0.8899)  8 Hg 3.15-3.39, 2 Ac 3.50-3.51
Hg (0.2500, 0.5557, 0.1101)  8 Hg 3.15-3.39, 2 Ac 3.50-3.51
Hg (0.2500, 0.9452, 0.8916)  8 Hg 3.15-3.39, 2 Ac 3.51
Ac (0.2500, 0.1719, 0.3420)  5 Se 3.15-3.19, 4 Hg 3.50-3.51
Ac (0.7500, 0.8281, 0.6580)  5 Se 3.15-3.19, 4 Hg 3.50-3.51

Calculated values
- Distance to the lowest polymorph of the same formula: 0 meV per atom
- Volume: 230.46 Å³ per cell
- Total magnetization: 0.00 μB/cell